Entry a
A geometry-optimized Mn2BeTl structure. Source: the Alexandria database, functional PBE.

Calculated values
crystal system = trigonal
volume = 15.4 Å³ per atom
magnetization = 1.522 μB/atom

a b c (Å): 3.0448 3.0448 22.9795
angles (deg): 90.00 90.00 120.00
Space group R-3m (No. 166, hexagonal axes)
Asymmetric unit:
Mn 0.0000 0.0000 0.2314 [6 per cell]
Be 0.0000 0.0000 0.5000 [3 per cell]
Tl 0.0000 0.0000 0.0000 [3 per cell]

Entry b
A geometry-optimized Mn2BeTl structure. Source: the Alexandria database, functional PBE.

Calculated values
crystal system = tetragonal
volume = 14.3 Å³ per atom
magnetization = 1.382 μB/atom

a b c (Å): 2.8642 2.8642 6.9612
angles (deg): 90.00 90.00 90.00
Space group P4/mmm (No. 123)
Asymmetric unit:
Mn 0.0000 0.0000 0.1895 [2 per cell]
Be 0.5000 0.5000 0.0000 [1 per cell]
Tl 0.5000 0.5000 0.5000 [1 per cell]

Entry c
A geometry-optimized Mn2BeTl structure. Source: the Alexandria database, functional PBE.

Calculated values
crystal system = orthorhombic
volume = 14.4 Å³ per atom
magnetization = 1.419 μB/atom

a b c (Å): 3.8512 3.8640 7.7584
angles (deg): 90.00 90.00 90.00
Space group Immm (No. 71)
Asymmetric unit:
Mn 0.0000 0.0000 0.2503 [4 per cell]
Be 0.0000 0.5000 0.0000 [2 per cell]
Tl 0.0000 0.5000 0.5000 [2 per cell]

Which is most stable, and by how much? entry b, by 6.6 kJ/mol of atoms.